# Sr2I2O7 | Alexandria | GGA-PBE | relaxed
data_Sr2I2O7
_chemical_formula_sum 'Sr4 I4 O14'
_cell_length_a 9.580
_cell_length_b 8.249
_cell_length_c 4.681
_cell_angle_alpha 90.00
_cell_angle_beta 95.68
_cell_angle_gamma 90.00
_symmetry_space_group_name_H-M 'C 1 2/m 1'
_symmetry_Int_Tables_number 12
_symmetry_space_group_name_Hall '-C 2y'
loop_
_atom_site_label
_atom_site_type_symbol
_atom_site_fract_x
_atom_site_fract_y
_atom_site_fract_z
_atom_site_occupancy
Sr1 Sr 0.000 0.237 0.000 1
I1 I 0.237 0.500 0.517 1
O1 O 0.000 0.500 0.500 1
O2 O 0.080 0.000 0.290 1
O3 O 0.249 0.338 0.242 1
# Uncorrected formation energy   -1.30 eV per atom
# VASP energy   -5.039 eV per atom